Entry 1:
First-principles (PBE) data for an optimized crystal structure of TaSe2Br, as listed in Alexandria via LeMat-Bulk.

Cell and atoms, written as POSCAR:
```
TaSe2Br
1.0
5.245 0.009 0.001
-2.536 5.677 -0.012
0.009 2.153 2.770
Br Se Ta
1 2 1
Direct
0.500 0.000 0.500 Br
0.000 0.000 0.000 Se
0.000 0.500 0.500 Se
0.500 0.500 0.000 Ta
```

Values from the calculation:
space-group type	C2/m, No. 12
ΔE_f (raw)	0.43	eV per atom
D(E_F)	2.244	states/eV per cell
E above lowest polymorph	1113	meV per atom

=====

Entry 2:
First-principles (PBE) data for an optimized crystal structure of ZrCuO2, as listed in Alexandria via LeMat-Bulk.

Cell and atoms, written as POSCAR:
```
ZrCuO2
1.0
4.456 0.000 0.000
0.000 4.456 0.000
2.228 2.228 5.719
O Cu Zr
4 2 2
Direct
0.656 0.125 0.250 O
0.094 0.625 0.250 O
0.375 0.344 0.750 O
0.875 0.906 0.750 O
0.500 0.500 0.000 Cu
0.250 0.750 0.500 Cu
0.000 0.000 0.000 Zr
0.750 0.250 0.500 Zr
```

Values from the calculation:
space-group type	I-42d, No. 122
ΔE_f (raw)	-1.67	eV per atom
D(E_F)	2.946	states/eV per cell

=====

Entry 3:
First-principles (PBE) data for an optimized crystal structure of Sb2AsRu, as listed in Alexandria via LeMat-Bulk.

Cell and atoms, written as POSCAR:
```
Sb2AsRu
1.0
-0.669 1.754 -4.686
-4.471 -2.044 -1.148
1.081 2.739 4.101
Sb As Ru
2 1 1
Direct
0.000 0.000 0.000 Sb
0.500 0.500 0.000 Sb
0.250 0.750 0.500 As
0.750 0.250 0.500 Ru
```

Values from the calculation:
space-group type	I4/mmm, No. 139
ΔE_f (raw)	0.40	eV per atom
D(E_F)	2.472	states/eV per cell

=====

Entry 4:
First-principles (PBE) data for an optimized crystal structure of CaLaTc2, as listed in Alexandria via LeMat-Bulk.

Cell and atoms, written as POSCAR:
```
CaLaTc2
1.0
-5.880 -0.691 -0.341
-4.160 -4.079 -1.108
-2.208 -2.053 4.114
Ca Tc La
1 2 1
Direct
0.482 0.482 0.518 Ca
0.060 0.060 0.940 Tc
0.694 0.694 0.806 Tc
0.263 0.263 0.237 La
```

Values from the calculation:
space-group type	Imm2, No. 44
D(E_F)	3.982	states/eV per cell
E above lowest polymorph	99	meV per atom
energy relative to the elements	0.279	eV per atom

=====

Entry 5:
First-principles (PBE) data for an optimized crystal structure of Ba2Cd2Rh, as listed in Alexandria via LeMat-Bulk.

Cell and atoms, written as POSCAR:
```
Ba2Cd2Rh
1.0
7.557 0.000 0.000
0.000 7.557 0.000
0.000 0.000 5.426
Rh Ba Cd
2 4 4
Direct
0.000 0.000 0.000 Rh
0.500 0.500 0.000 Rh
0.183 0.683 0.500 Ba
0.683 0.817 0.500 Ba
0.817 0.317 0.500 Ba
0.317 0.183 0.500 Ba
0.361 0.861 0.000 Cd
0.861 0.639 0.000 Cd
0.639 0.139 0.000 Cd
0.139 0.361 0.000 Cd
```

Values from the calculation:
space-group type	P4/mbm, No. 127
D(E_F)	9.914	states/eV per cell
E above lowest polymorph	255	meV per atom
energy relative to the elements	-0.042	eV per atom

=====

Entry 6:
First-principles (PBE) data for an optimized crystal structure of Ac6DyTl5, as listed in Alexandria via LeMat-Bulk.

Cell and atoms, written as POSCAR:
```
Ac6DyTl5
1.0
-3.755 -3.899 2.081
-2.605 -1.665 -7.819
9.321 -3.510 2.163
Ac Tl Dy
6 5 1
Direct
0.828 0.572 0.656 Ac
0.828 0.084 0.656 Ac
0.500 0.736 0.000 Ac
0.500 0.264 0.000 Ac
0.172 0.916 0.344 Ac
0.172 0.428 0.344 Ac
0.653 0.153 0.306 Tl
0.332 0.332 0.665 Tl
0.000 0.500 0.000 Tl
0.668 0.668 0.335 Tl
0.347 0.847 0.694 Tl
0.000 0.000 0.000 Dy
```

Values from the calculation:
space-group type	Immm, No. 71
D(E_F)	16.767	states/eV per cell
energy relative to the elements	-0.247	eV per atom

=====

Entry 7:
First-principles (PBE) data for an optimized crystal structure of CsSeI2F, as listed in Alexandria via LeMat-Bulk.

Cell and atoms, written as POSCAR:
```
CsSeI2F
1.0
-4.529 -2.305 3.373
4.084 -2.694 3.642
0.084 3.671 2.622
Cs I Se F
1 2 1 1
Direct
0.500 0.500 0.500 Cs
0.000 0.500 0.000 I
0.500 0.000 0.000 I
0.000 0.000 0.000 Se
0.000 0.000 0.500 F
```

Values from the calculation:
space-group type	P4/mmm, No. 123
ΔE_f (raw)	-0.90	eV per atom
D(E_F)	1.450	states/eV per cell

=====

Entry 8:
First-principles (PBE) data for an optimized crystal structure of K2CeBeS4, as listed in Alexandria via LeMat-Bulk.

Cell and atoms, written as POSCAR:
```
K2CeBeS4
1.0
-4.748 5.476 3.385
-0.858 -5.564 5.683
7.788 2.736 -0.039
K Ce Be S
4 2 2 8
Direct
0.500 0.000 0.000 K
0.500 0.000 0.500 K
0.000 0.000 0.500 K
0.500 0.500 0.000 K
0.000 0.500 0.000 Ce
0.000 0.500 0.500 Ce
0.500 0.500 0.500 Be
0.000 0.000 0.000 Be
0.188 0.686 0.877 S
0.814 0.312 0.623 S
0.186 0.688 0.377 S
0.812 0.314 0.123 S
0.849 0.823 0.041 S
0.677 0.651 0.459 S
0.323 0.349 0.541 S
0.151 0.177 0.959 S
```

Values from the calculation:
space-group type	C2/c, No. 15
ΔE_f (raw)	-1.22	eV per atom

=====

| no. | final energy (eV/f.u.) | density (g/cm3) |
| --- | --- | --- |
| 1 | -18.79 | 8.412 |
| 2 | -29.25 | 5.462 |
| 3 | -20.57 | 8.650 |
| 4 | -26.55 | 6.310 |
| 5 | -13.24 | 6.456 |
| 6 | -44.04 | 9.832 |
| 7 | -13.79 | 4.795 |
| 8 | -38.13 | 2.603 |